# 1
Ba8Zn2Pd PBE-GGA relaxed; calculated volume = 52.34 A^3/atom; distance to the lowest polymorph of the same formula = 0 kJ/mol of formula units; energy of formation from the pure elements = -126 meV per atom; N(E_F) = 15.53 states/eV/f.u.; crystal system = monoclinic
1.0
-3.6684 7.7044 0.9764
-3.2752 -0.5493 -7.9705
-4.4663 -7.2356 2.5375
Ba Pd Zn
8 1 2
direct
0.7102 0.2519 0.9168
0.1973 0.1156 0.3946
0.7068 0.3913 0.4135
0.2066 0.2519 0.9168
0.2898 0.7481 0.0832
0.8027 0.8844 0.6054
0.2932 0.6087 0.5865
0.7934 0.7481 0.0832
0.0000 0.0000 0.0000
0.0899 0.4567 0.1798
0.9101 0.5433 0.8202



# 2
Cs2KMgF PBE-GGA relaxed; raw formation energy = -0.902 eV/atom; calculated volume = 44.49 A^3/atom; N(E_F) = 2.61 states/eV/f.u.; crystal system = tetragonal
1.0
-4.3137 -1.2635 4.2529
0.0239 -5.9383 -1.7400
4.1647 -1.1232 3.8906
Cs F K Mg
2 1 1 1
direct
0.5000 0.0000 0.0000
0.0000 0.5000 0.0000
0.0000 0.0000 0.0000
0.0000 0.0000 0.5000
0.5000 0.5000 0.5000



# 3
Cs2As2Br PBE-GGA relaxed; raw formation energy = -0.743 eV/atom; calculated volume = 34.64 A^3/atom; distance to the lowest polymorph of the same formula = 0 kJ/mol of formula units; N(E_F) = 1.77 states/eV/f.u.; crystal system = tetragonal
1.0
-1.3828 2.5056 2.7535
-3.3709 0.4041 -2.0605
-6.7465 -6.9920 5.8386
As Br Cs
2 1 2
direct
0.2500 0.7500 0.5000
0.7500 0.2500 0.5000
0.0000 0.0000 0.0000
0.6043 0.6043 0.7915
0.3957 0.3957 0.2085



# 4
K2Sn3Pd4Pb PBE-GGA relaxed; calculated volume = 24.91 A^3/atom; energy of formation from the pure elements = -378 meV per atom; N(E_F) = 5.40 states/eV/f.u.; crystal system = tetragonal
1.0
-4.0270 -2.1300 -1.6534
-1.5308 -0.6404 4.5535
-4.8566 9.4210 -0.3077
Pd Pb K Sn
4 1 2 3
direct
0.0000 0.0000 0.0000
0.5000 0.0000 0.6339
0.0000 0.5000 0.3661
0.5000 0.5000 0.0000
0.5000 0.5000 0.5000
0.0000 0.5000 0.7596
0.5000 0.0000 0.2404
0.0000 0.5000 0.1128
0.5000 0.0000 0.8872
0.0000 0.0000 0.5000



# 5
TbCdAu2 PBE-GGA relaxed; calculated volume = 21.76 A^3/atom; energy of formation from the pure elements = -596 meV per atom; N(E_F) = 1.67 states/eV/f.u.; crystal system = tetragonal
1.0
3.5935 0.0000 0.0000
0.0000 3.5935 0.0000
0.0000 0.0000 6.7416
Au Cd Tb
2 1 1
direct
0.0000 0.0000 0.2484
0.0000 0.0000 0.7516
0.5000 0.5000 0.0000
0.5000 0.5000 0.5000



# 6
GaSb2Au2 PBE-GGA relaxed; raw formation energy = 0.103 eV/atom; calculated volume = 25.83 A^3/atom; distance to the lowest polymorph of the same formula = 62 kJ/mol of formula units; N(E_F) = 1.47 states/eV/f.u.; crystal system = tetragonal
1.0
-3.7590 -1.9176 -1.7943
-1.0360 -1.7960 4.0900
-5.6294 3.1766 2.5395
Sb Ga Au
2 1 2
direct
0.3822 0.3822 0.2356
0.6178 0.6178 0.7644
0.0000 0.0000 0.0000
0.2500 0.7500 0.5000
0.7500 0.2500 0.5000



# 7
Ce2Ga2Ru PBE-GGA relaxed; calculated volume = 20.58 A^3/atom; energy of formation from the pure elements = -493 meV per atom; N(E_F) = 6.86 states/eV/f.u.; crystal system = monoclinic
1.0
4.5239 0.0000 0.0000
-2.2620 5.3871 -0.1867
0.0000 -2.1870 4.2983
Ga Ru Ce
2 1 2
direct
0.4627 0.9254 0.7069
0.5373 0.0746 0.2931
0.0000 0.0000 0.0000
0.8065 0.6130 0.2413
0.1935 0.3870 0.7587



# 8
V3TcB PBE-GGA relaxed; calculated volume = 13.02 A^3/atom; distance to the lowest polymorph of the same formula = 0 kJ/mol of formula units; energy of formation from the pure elements = 110 meV per atom; N(E_F) = 7.29 states/eV/f.u.; crystal system = cubic
1.0
-0.2000 -3.8907 1.0037
-0.3922 -0.9812 -3.8817
3.9988 -0.2908 -0.3305
V Tc B
3 1 1
direct
0.5000 0.0000 0.0000
0.0000 0.5000 0.0000
0.0000 0.0000 0.5000
0.5000 0.5000 0.5000
0.0000 0.0000 0.0000



- Which value of calculated volume does entry 4 give?
  24.91 A^3/atom



- The lowest N(E_F) belongs to which entry?
  GaSb2Au2